This record from Alexandria via LeMat-Bulk describes LiPr2MnO5 after structural relaxation. The functional is PBE+U.

Lattice parameters (Å, degrees): 3.4923 13.8772 9.2767 90.00 90.00 90.00
With the nearest neighbours (Å) after each atom.
Space group Cmc2_1 (No. 36)
Unique sites:
Li 0.0000 0.2240 0.0000 (multiplicity 4)  1 O 1.83
Pr 0.0000 0.1171 0.3125 (multiplicity 4)  8 O 2.48-2.67
Pr 0.0000 0.1307 0.6897 (multiplicity 4)  8 O 2.43-2.67
Mn 0.0000 0.4189 0.4912 (multiplicity 4)  5 O 1.95-2.12
O 0.0000 0.0319 0.0543 (multiplicity 4)  2 Mn 1.96
O 0.0000 0.2979 0.3510 (multiplicity 4)  1 Mn 2.12, 2 Li 2.25
O 0.0000 0.3209 0.6460 (multiplicity 4)  1 Mn 1.98
O 0.0000 0.3558 0.0089 (multiplicity 4)  1 Li 1.83
O 0.0000 0.4857 0.3060 (multiplicity 4)  1 Mn 1.95

Results
For the density, the calculation gives 6.26 g cm⁻³. For the calculated total energy, the calculation gives -7.439 eV/atom.